1.
# TiBeNi5 (PBE, relaxed)
data_TiBeNi5
_space_group_name_H-M_alt 'P 4/m m m'
_space_group_IT_number 123
_space_group_name_Hall '-P 4 2'
_cell_length_a 3.584
_cell_length_b 3.584
_cell_length_c 6.139
_cell_angle_alpha 90.00
_cell_angle_beta 90.00
_cell_angle_gamma 90.00
loop_
_atom_site_label
_atom_site_type_symbol
_atom_site_fract_x
_atom_site_fract_y
_atom_site_fract_z
Ti1 Ti 0.000 0.000 0.000
Be1 Be 0.500 0.500 0.500
Ni1 Ni 0.000 0.500 0.295
Ni2 Ni 0.500 0.500 0.000
# Offset from the most stable computed form   0 meV/atom
# Calculated formation energy   -0.27 eV/atom


2.
# TiCoCu4 (PBE, relaxed)
data_TiCoCu4
_space_group_name_H-M_alt 'F -4 3 m'
_space_group_IT_number 216
_space_group_name_Hall 'F -4 2 3'
_cell_length_a 6.720
_cell_length_b 6.720
_cell_length_c 6.720
_cell_angle_alpha 90.00
_cell_angle_beta 90.00
_cell_angle_gamma 90.00
loop_
_atom_site_label
_atom_site_type_symbol
_atom_site_fract_x
_atom_site_fract_y
_atom_site_fract_z
Ti1 Ti 0.000 0.000 0.000
Co1 Co 0.250 0.250 0.250
Cu1 Cu 0.125 0.125 0.625
# Calculated formation energy   0.04 eV/atom


Number 1: E -6.06 eV per atom. Number 2: E -5.19 eV per atom.